(1)
A relaxed structure of ErTm6Zr2. Source: the Alexandria database, functional PBE.

- Magnetic moment: 0.3 μB/f.u.
- V: 28.883 Å³/atom
- Symmetry: P-6m2 (187)
- Calculated formation energy: 0.066 eV/atom

```
9
Lattice="3.464 0.000 0.000 -1.732 3.000 0.000 0.000 0.000 25.018" Properties=species:S:1:pos:R:3 pbc="T T T"
Er 0.000 0.000 0.000
Tm 0.000 0.000 5.670
Tm 0.000 0.000 10.827
Tm 0.000 0.000 14.191
Tm 0.000 0.000 19.348
Tm 0.000 2.000 2.821
Tm 0.000 2.000 22.198
Zr 0.000 2.000 8.283
Zr 0.000 2.000 16.736
```



(2)
A relaxed structure of Er8Tm3Zr. Source: the Alexandria database, functional PBE.

- Magnetic moment: 0.0 μB/f.u.
- V: 29.610 Å³/atom
- Symmetry: C2/m (12)
- Calculated formation energy: 0.024 eV/atom

```
12
Lattice="6.080 -3.505 0.000 6.080 3.505 0.000 -4.065 0.000 8.337" Properties=species:S:1:pos:R:3 pbc="T T T"
Er 3.014 1.777 5.592
Er -0.012 0.000 5.564
Er 1.996 0.000 2.745
Er 5.079 1.777 2.745
Er 3.014 -1.777 5.592
Er 6.098 0.000 5.592
Er 8.106 0.000 2.773
Er 5.079 -1.777 2.745
Tm 3.040 1.753 0.000
Tm 3.040 -1.753 0.000
Tm 6.080 0.000 0.000
Zr 0.000 0.000 0.000
```



- Among the records above, which one has the highest magnetic moment?
  ErTm6Zr2



- The highest calculated formation energy belongs to which entry?
  ErTm6Zr2



- Which of these has the lowest V?
  ErTm6Zr2